First-principles (PBE with a Hubbard U) data for a relaxed Cu3WF crystal, as listed in the Alexandria database.

Cell lengths 4.1784, 4.1784, 4.1784 Å; angles 90.00, 90.00, 90.00 degrees
Last column: magnetic moment on the atom in μB.
Fractional coordinates of all 5 atoms:
Cu1 0.0000 0.5000 0.0000  0.18
Cu2 0.0000 0.0000 0.5000  0.08
Cu3 0.5000 0.0000 0.0000  0.27
W1 0.5000 0.5000 0.5000  2.90
F1 0.0000 0.0000 0.0000  0.10

Calculated values
Total magnetic moment (μB per formula unit): 4.14
Crystal system: cubic
Raw total energy (eV per atom): -3.73